1.
Compound: Ir2RhW
Source: Alexandria via LeMat-Bulk
Functional: PBE
Structure: optimized geometry

```
data_Ir2RhW
_space_group_name_H-M_alt 'P m m 2'
_space_group_IT_number 25
_space_group_name_Hall 'P 2 -2'
_cell_length_a 2.7409
_cell_length_b 3.9221
_cell_length_c 5.4944
_cell_angle_alpha 90.00
_cell_angle_beta 90.00
_cell_angle_gamma 90.00
loop_
_atom_site_label
_atom_site_type_symbol
_atom_site_fract_x
_atom_site_fract_y
_atom_site_fract_z
_atom_site_occupancy
Ir1 Ir 0.0000 0.0000 0.0000 1
Ir2 Ir 0.5000 0.5000 0.2500 1
Rh1 Rh 0.0000 0.0000 0.4960 1
W1 W 0.5000 0.5000 0.7486 1
```

## Properties
DOS at the Fermi energy = 3.64 states/eV/f.u.
ΔE_f = -3.73 kcal/mol of atoms

2.
Compound: Ir2RhW
Source: Alexandria via LeMat-Bulk
Functional: PBE
Structure: optimized geometry

```
data_Ir2RhW
_space_group_name_H-M_alt 'R 3 m'
_space_group_IT_number 160
_space_group_name_Hall 'R 3 -2"'
_cell_length_a 2.7655
_cell_length_b 2.7655
_cell_length_c 26.9196
_cell_angle_alpha 90.00
_cell_angle_beta 90.00
_cell_angle_gamma 120.00
loop_
_atom_site_label
_atom_site_type_symbol
_atom_site_fract_x
_atom_site_fract_y
_atom_site_fract_z
_atom_site_occupancy
Ir1 Ir 0.0000 0.0000 0.0000 1
Ir2 Ir 0.0000 0.0000 0.2494 1
Rh1 Rh 0.0000 0.0000 0.7506 1
W1 W 0.0000 0.0000 0.4998 1
```

## Properties
DOS at the Fermi energy = 5.67 states/eV/f.u.
ΔE_f = -0.53 kcal/mol of atoms

3.
Compound: Ir2Rh8W
Source: Alexandria via LeMat-Bulk
Functional: PBE
Structure: optimized geometry

```
data_Ir2Rh8W
_space_group_name_H-M_alt 'C m m m'
_space_group_IT_number 65
_space_group_name_Hall '-C 2 2'
_cell_length_a 7.9855
_cell_length_b 10.1763
_cell_length_c 4.1530
_cell_angle_alpha 90.00
_cell_angle_beta 90.00
_cell_angle_gamma 90.00
loop_
_atom_site_label
_atom_site_type_symbol
_atom_site_fract_x
_atom_site_fract_y
_atom_site_fract_z
_atom_site_occupancy
Ir1 Ir 0.0000 0.1220 0.0000 1
Rh1 Rh 0.0000 0.2523 0.5000 1
Rh2 Rh 0.1653 0.3688 0.0000 1
Rh3 Rh 0.1706 0.0000 0.5000 1
W1 W 0.0000 0.5000 0.5000 1
```

## Properties
DOS at the Fermi energy = 14.18 states/eV/f.u.
ΔE_f = 2.98 kcal/mol of atoms

4.
Compound: Ir2RhW
Source: Alexandria via LeMat-Bulk
Functional: PBE
Structure: optimized geometry

```
data_Ir2RhW
_space_group_name_H-M_alt 'P 4 m m'
_space_group_IT_number 99
_space_group_name_Hall 'P 4 -2'
_cell_length_a 3.3361
_cell_length_b 3.3361
_cell_length_c 5.4532
_cell_angle_alpha 90.00
_cell_angle_beta 90.00
_cell_angle_gamma 90.00
loop_
_atom_site_label
_atom_site_type_symbol
_atom_site_fract_x
_atom_site_fract_y
_atom_site_fract_z
_atom_site_occupancy
Ir1 Ir 0.0000 0.0000 0.0000 1
Ir2 Ir 0.5000 0.5000 0.2449 1
Rh1 Rh 0.0000 0.0000 0.4952 1
W1 W 0.5000 0.5000 0.7512 1
```

## Properties
DOS at the Fermi energy = 3.97 states/eV/f.u.
ΔE_f = 2.92 kcal/mol of atoms

5.
Compound: Ir2RhW2
Source: Alexandria via LeMat-Bulk
Functional: PBE
Structure: optimized geometry

```
data_Ir2RhW2
_space_group_name_H-M_alt 'C 1 2/m 1'
_space_group_IT_number 12
_space_group_name_Hall '-C 2y'
_cell_length_a 8.7158
_cell_length_b 3.9281
_cell_length_c 6.1685
_cell_angle_alpha 90.00
_cell_angle_beta 134.49
_cell_angle_gamma 90.00
loop_
_atom_site_label
_atom_site_type_symbol
_atom_site_fract_x
_atom_site_fract_y
_atom_site_fract_z
_atom_site_occupancy
Ir1 Ir 0.2004 0.0000 0.2908 1
Rh1 Rh 0.0000 0.0000 0.5000 1
W1 W 0.0869 0.5000 0.8809 1
```

## Properties
DOS at the Fermi energy = 3.83 states/eV/f.u.
ΔE_f = -4.66 kcal/mol of atoms

6.
Compound: Ir2RhW
Source: Alexandria via LeMat-Bulk
Functional: PBE
Structure: optimized geometry

```
data_Ir2RhW
_space_group_name_H-M_alt 'R -3 m'
_space_group_IT_number 166
_space_group_name_Hall '-R 3 2"'
_cell_length_a 2.7731
_cell_length_b 2.7731
_cell_length_c 26.8285
_cell_angle_alpha 90.00
_cell_angle_beta 90.00
_cell_angle_gamma 120.00
loop_
_atom_site_label
_atom_site_type_symbol
_atom_site_fract_x
_atom_site_fract_y
_atom_site_fract_z
_atom_site_occupancy
Ir1 Ir 0.0000 0.0000 0.2493 1
Rh1 Rh 0.0000 0.0000 0.0000 1
W1 W 0.0000 0.0000 0.5000 1
```

## Properties
DOS at the Fermi energy = 6.58 states/eV/f.u.
ΔE_f = -1.16 kcal/mol of atoms

7.
Compound: IrRh2W
Source: Alexandria via LeMat-Bulk
Functional: PBE
Structure: optimized geometry

```
data_IrRh2W
_space_group_name_H-M_alt 'F m -3 m'
_space_group_IT_number 225
_space_group_name_Hall '-F 4 2 3'
_cell_length_a 6.2095
_cell_length_b 6.2095
_cell_length_c 6.2095
_cell_angle_alpha 90.00
_cell_angle_beta 90.00
_cell_angle_gamma 90.00
loop_
_atom_site_label
_atom_site_type_symbol
_atom_site_fract_x
_atom_site_fract_y
_atom_site_fract_z
_atom_site_occupancy
Ir1 Ir 0.0000 0.0000 0.0000 1
Rh1 Rh 0.2500 0.2500 0.2500 1
W1 W 0.0000 0.0000 0.5000 1
```

## Properties
DOS at the Fermi energy = 3.94 states/eV/f.u.
ΔE_f = 4.97 kcal/mol of atoms

8.
Compound: Ir2RhW3
Source: Alexandria via LeMat-Bulk
Functional: PBE
Structure: optimized geometry

```
data_Ir2RhW3
_space_group_name_H-M_alt 'P 4/m m m'
_space_group_IT_number 123
_space_group_name_Hall '-P 4 2'
_cell_length_a 2.7705
_cell_length_b 2.7705
_cell_length_c 11.8386
_cell_angle_alpha 90.00
_cell_angle_beta 90.00
_cell_angle_gamma 90.00
loop_
_atom_site_label
_atom_site_type_symbol
_atom_site_fract_x
_atom_site_fract_y
_atom_site_fract_z
_atom_site_occupancy
Ir1 Ir 0.0000 0.0000 0.1673 1
Rh1 Rh 0.0000 0.0000 0.5000 1
W1 W 0.5000 0.5000 0.0000 1
W2 W 0.5000 0.5000 0.3334 1
```

## Properties
DOS at the Fermi energy = 4.66 states/eV/f.u.
ΔE_f = -5.39 kcal/mol of atoms

9.
Compound: IrRh2W
Source: Alexandria via LeMat-Bulk
Functional: PBE
Structure: optimized geometry

```
data_IrRh2W
_space_group_name_H-M_alt 'I -4 m 2'
_space_group_IT_number 119
_space_group_name_Hall 'I -4 -2'
_cell_length_a 3.8989
_cell_length_b 3.8989
_cell_length_c 7.6981
_cell_angle_alpha 90.00
_cell_angle_beta 90.00
_cell_angle_gamma 90.00
loop_
_atom_site_label
_atom_site_type_symbol
_atom_site_fract_x
_atom_site_fract_y
_atom_site_fract_z
_atom_site_occupancy
Ir1 Ir 0.0000 0.0000 0.0000 1
Rh1 Rh 0.0000 0.0000 0.5000 1
Rh2 Rh 0.0000 0.5000 0.7500 1
W1 W 0.0000 0.5000 0.2500 1
```

## Properties
DOS at the Fermi energy = 4.42 states/eV/f.u.
ΔE_f = -5.04 kcal/mol of atoms

10.
Compound: Ir2RhW
Source: Alexandria via LeMat-Bulk
Functional: PBE
Structure: optimized geometry

```
data_Ir2RhW
_space_group_name_H-M_alt 'C 1 2/m 1'
_space_group_IT_number 12
_space_group_name_Hall '-C 2y'
_cell_length_a 9.1630
_cell_length_b 2.7533
_cell_length_c 4.7610
_cell_angle_alpha 90.00
_cell_angle_beta 99.92
_cell_angle_gamma 90.00
loop_
_atom_site_label
_atom_site_type_symbol
_atom_site_fract_x
_atom_site_fract_y
_atom_site_fract_z
_atom_site_occupancy
Ir1 Ir 0.2468 0.0000 0.2497 1
Rh1 Rh 0.0000 0.0000 0.5000 1
W1 W 0.0000 0.5000 0.0000 1
```

## Properties
DOS at the Fermi energy = 4.68 states/eV/f.u.
ΔE_f = -3.17 kcal/mol of atoms

11.
Compound: IrRh2W
Source: Alexandria via LeMat-Bulk
Functional: PBE
Structure: optimized geometry

```
data_IrRh2W
_space_group_name_H-M_alt 'P 4/m m m'
_space_group_IT_number 123
_space_group_name_Hall '-P 4 2'
_cell_length_a 2.7369
_cell_length_b 2.7369
_cell_length_c 7.8572
_cell_angle_alpha 90.00
_cell_angle_beta 90.00
_cell_angle_gamma 90.00
loop_
_atom_site_label
_atom_site_type_symbol
_atom_site_fract_x
_atom_site_fract_y
_atom_site_fract_z
_atom_site_occupancy
Ir1 Ir 0.0000 0.0000 0.0000 1
Rh1 Rh 0.5000 0.5000 0.2509 1
W1 W 0.0000 0.0000 0.5000 1
```

## Properties
DOS at the Fermi energy = 5.17 states/eV/f.u.
ΔE_f = -1.17 kcal/mol of atoms

12.
Compound: IrRh2W
Source: Alexandria via LeMat-Bulk
Functional: PBE
Structure: optimized geometry

```
data_IrRh2W
_space_group_name_H-M_alt 'P m m m'
_space_group_IT_number 47
_space_group_name_Hall '-P 2 2'
_cell_length_a 2.7335
_cell_length_b 3.9268
_cell_length_c 5.4639
_cell_angle_alpha 90.00
_cell_angle_beta 90.00
_cell_angle_gamma 90.00
loop_
_atom_site_label
_atom_site_type_symbol
_atom_site_fract_x
_atom_site_fract_y
_atom_site_fract_z
_atom_site_occupancy
Ir1 Ir 0.0000 0.0000 0.0000 1
Rh1 Rh 0.5000 0.5000 0.2483 1
W1 W 0.0000 0.0000 0.5000 1
```

## Properties
DOS at the Fermi energy = 3.64 states/eV/f.u.
ΔE_f = -3.08 kcal/mol of atoms